#w
HgTe2As: optimized geometry, PBEsol.

abc: 3.6076 3.6076 7.4552
angles: 90.00 90.00 90.00
Last column: nearest neighbours and their distance in Å.
Atoms (fractional coordinates):
Hg (0.0000, 0.0000, 0.0000)  8 Te 3.26, 4 Hg 3.61
Te (0.5000, 0.5000, 0.2727)  4 As 3.06, 4 Hg 3.26, 1 Te 3.39
Te (0.5000, 0.5000, 0.7273)  4 As 3.06, 4 Hg 3.26, 1 Te 3.39
As (0.0000, 0.0000, 0.5000)  8 Te 3.06

## Properties
For the total magnetization, the calculation gives 0.00 μB/cell. As for the calculated volume: 97 Å³/f.u. The calculation puts the density of states at the Fermi level at 2.4 states/eV/cell. The space group is P4/mmm, No. 123.


#x
HgTe2As: optimized geometry, PBEsol.

abc: 4.2026 4.2026 5.9018
angles: 90.00 90.00 90.00
Last column: nearest neighbours and their distance in Å.
Atoms (fractional coordinates):
Hg (0.0000, 0.0000, 0.0000)  6 Te 2.95-2.97
Te (0.0000, 0.0000, 0.5000)  2 Hg 2.95, 4 As 2.97
Te (0.5000, 0.5000, 0.0000)  2 As 2.95, 4 Hg 2.97
As (0.5000, 0.5000, 0.5000)  6 Te 2.95-2.97

## Properties
For the total magnetization, the calculation gives 0.00 μB/cell. As for the calculated volume: 104 Å³/f.u. The calculation puts the density of states at the Fermi level at 1.7 states/eV/cell. The space group is P4/mmm, No. 123.


#y
HgTe2As: optimized geometry, PBEsol.

abc: 4.2167 4.2167 6.0030
angles: 90.00 90.00 90.00
Last column: nearest neighbours and their distance in Å.
Atoms (fractional coordinates):
Hg (0.0000, 0.0000, 0.0000)  6 Te 2.87-3.14
Te (0.0000, 0.0000, 0.5227)  2 Hg 2.87-3.14, 4 As 2.98
Te (0.5000, 0.5000, 0.0661)  1 As 2.64
As (0.5000, 0.5000, 0.5061)  1 Te 2.64

## Properties
For the total magnetization, the calculation gives 0.00 μB/cell. As for the calculated volume: 107 Å³/f.u. The calculation puts the density of states at the Fermi level at 1.4 states/eV/cell. The space group is P4mm, No. 99.


#z
HgTe2As: optimized geometry, PBEsol.

abc: 3.0240 4.1696 8.6372
angles: 90.00 92.62 90.00
Last column: nearest neighbours and their distance in Å.
Atoms (fractional coordinates):
Hg (0.0000, 0.0000, 0.0000)  2 Hg 3.02, 4 Te 3.13
Te (0.0262, 0.5000, 0.7302)  2 As 2.88, 2 Te 3.02, 2 Hg 3.13
Te (0.9738, 0.5000, 0.2698)  2 As 2.88, 2 Te 3.02, 2 Hg 3.13
As (0.0000, 0.0000, 0.5000)  4 Te 2.88, 2 As 3.02

## Properties
For the total magnetization, the calculation gives 0.00 μB/cell. As for the calculated volume: 109 Å³/f.u. The calculation puts the density of states at the Fermi level at 1.5 states/eV/cell. The space group is P2/m, No. 10.


Which one sits at the top of the stability order? #y does.


#w
HgTe2As: optimized geometry, PBEsol.

abc: 5.1426 5.1426 5.1426
angles: 60.00 60.00 60.00
Last column: nearest neighbours and their distance in Å.
Atoms (fractional coordinates):
Hg (0.0000, 0.0000, 0.0000)  4 As 3.15, 4 Te 3.15
Te (0.5000, 0.5000, 0.5000)  4 Te 3.15, 4 As 3.15
Te (0.7500, 0.7500, 0.7500)  4 Te 3.15, 4 Hg 3.15
As (0.2500, 0.2500, 0.2500)  4 Te 3.15, 4 Hg 3.15

## Properties
For the total magnetization, the calculation gives 0.00 μB/cell. As for the calculated volume: 96 Å³/f.u. The calculation puts the density of states at the Fermi level at 2.9 states/eV/cell. The space group is F-43m, No. 216.


#x
HgTe2As: optimized geometry, PBEsol.

abc: 3.0294 5.9273 5.9704
angles: 90.00 97.77 90.00
Last column: nearest neighbours and their distance in Å.
Atoms (fractional coordinates):
Hg (0.0000, 0.0000, 0.0000)  4 Te 2.97-3.03, 2 Hg 3.03
Te (0.0884, 0.5000, 0.9776)  1 As 2.76, 2 Hg 2.98, 2 Te 3.03
Te (0.8894, 0.0000, 0.4876)  2 As 2.97, 2 Hg 2.97-3.03, 2 Te 3.03
As (0.9403, 0.5000, 0.5113)  3 Te 2.76-2.97, 2 As 3.03

## Properties
For the total magnetization, the calculation gives 0.00 μB/cell. As for the calculated volume: 106 Å³/f.u. The calculation puts the density of states at the Fermi level at 1.6 states/eV/cell. The space group is Pm, No. 6.


Which one sits at the top of the stability order? #x does.